Here is a relaxed La8Y6Tm crystal from the Alexandria database. Energies are from PBE.

Calculated values
As for the density of states at the Fermi level: 25.2 states/eV/f.u. For the magnetization, the calculation gives 0.000 μB per cell. Its space group is P-3 (147). Its total energy is -80.38 eV for the cell shown.

Lattice parameters (Å, degrees): 9.453 9.453 6.746 90.00 90.00 120.00
Fractional positions:
La (0.045, 0.292, 0.335)
La (0.247, 0.955, 0.335)
La (0.292, 0.247, 0.665)
La (0.333, 0.667, 0.382)
La (0.667, 0.333, 0.618)
La (0.708, 0.753, 0.335)
La (0.753, 0.045, 0.665)
La (0.955, 0.708, 0.665)
Y (0.098, 0.435, 0.851)
Y (0.337, 0.902, 0.851)
Y (0.435, 0.337, 0.149)
Y (0.565, 0.663, 0.851)
Y (0.663, 0.098, 0.149)
Y (0.902, 0.565, 0.149)
Tm (0.000, 0.000, 0.000)



Here is a relaxed LaY2Tm2 crystal from the Alexandria database. Energies are from PBE.

Calculated values
As for the density of states at the Fermi level: 7.4 states/eV/f.u. For the magnetization, the calculation gives 0.004 μB per cell. Its space group is C2/c (15). Its total energy is -51.01 eV for the cell shown. The value obtained for the energy relative to the lowest polymorph listed for this composition is 0 meV/atom.

Lattice parameters (Å, degrees): 6.405 6.405 8.790 103.80 103.80 95.38
Fractional positions:
La (0.200, 0.800, 0.750)
La (0.800, 0.200, 0.250)
Y (0.065, 0.252, 0.639)
Y (0.252, 0.065, 0.139)
Y (0.748, 0.935, 0.861)
Y (0.935, 0.748, 0.361)
Tm (0.000, 0.500, 0.000)
Tm (0.500, 0.000, 0.500)
Tm (0.500, 0.500, 0.000)
Tm (0.500, 0.500, 0.500)



Here is a relaxed La3YTm12 crystal from the Alexandria database. Energies are from PBE.

Calculated values
As for the density of states at the Fermi level: 25.6 states/eV/f.u. For the magnetization, the calculation gives 0.020 μB per cell. Its space group is P4/mmm (123). Its total energy is -74.27 eV for the cell shown.

Lattice parameters (Å, degrees): 5.014 5.014 20.088 90.00 90.00 90.00
Fractional positions:
La (0.000, 0.000, 0.000)
La (0.000, 0.000, 0.250)
La (0.000, 0.000, 0.750)
Y (0.000, 0.000, 0.500)
Tm (0.000, 0.500, 0.126)
Tm (0.000, 0.500, 0.378)
Tm (0.000, 0.500, 0.622)
Tm (0.000, 0.500, 0.874)
Tm (0.500, 0.000, 0.126)
Tm (0.500, 0.000, 0.378)
Tm (0.500, 0.000, 0.622)
Tm (0.500, 0.000, 0.874)
Tm (0.500, 0.500, 0.000)
Tm (0.500, 0.500, 0.252)
Tm (0.500, 0.500, 0.500)
Tm (0.500, 0.500, 0.748)



total energy of number 2 (LaY2Tm2)? -51.01 eV for the cell shown



Copy entry 2 word for word.
Here is a relaxed LaY2Tm2 crystal from the Alexandria database. Energies are from PBE.

Calculated values
As for the density of states at the Fermi level: 7.4 states/eV/f.u. For the magnetization, the calculation gives 0.004 μB per cell. Its space group is C2/c (15). Its total energy is -51.01 eV for the cell shown. The value obtained for the energy relative to the lowest polymorph listed for this composition is 0 meV/atom.

Lattice parameters (Å, degrees): 6.405 6.405 8.790 103.80 103.80 95.38
Fractional positions:
La (0.200, 0.800, 0.750)
La (0.800, 0.200, 0.250)
Y (0.065, 0.252, 0.639)
Y (0.252, 0.065, 0.139)
Y (0.748, 0.935, 0.861)
Y (0.935, 0.748, 0.361)
Tm (0.000, 0.500, 0.000)
Tm (0.500, 0.000, 0.500)
Tm (0.500, 0.500, 0.000)
Tm (0.500, 0.500, 0.500)